8
Lattice="-4.386 -2.172 0.445 2.018 -4.319 -1.194 -0.364 -4.033 3.860" Properties=species:S:1:pos:R:3 comment="VAgN2 | the Alexandria database | PBE-GGA | relaxed" formation_energy_uncorrected_ev_per_atom=-0.222 spacegroup="No. 122" vol_a3_per_atom=13.2 polymorph_energy_kj_per_mol_atoms=0.0 magnetic_moment_mub_per_cell=0.000 total_energy_ev_per_cell=-59.0 pbc="T T T"
V 0.235 -5.799 1.145
V -1.184 -3.245 -0.374
N 0.236 -4.170 0.313
N -0.983 -5.839 2.509
N -2.194 -2.715 1.055
N -2.522 -8.324 2.344
Ag -2.967 -4.725 1.965
Ag 0.000 0.000 0.000